1.
The following is a PBE-GGA calculation of Tc2BiMoOs after structural relaxation, from the Alexandria database.

a = 4.846 Å, b = 4.846 Å, c = 4.836 Å
α = 90.00°, β = 90.00°, γ = 90.00°
Element x y z (fractional)
1 Tc 0.000 0.500 0.000
2 Tc 0.500 0.000 0.000
3 Bi 0.000 0.000 0.000
4 Mo 0.500 0.500 0.500
5 Os 0.000 0.000 0.500

Results
- energy (eV/atom) = -6.412
- formation energy from the elements (kJ/mol of atoms) = 282.0
- size of the total moment (Bohr magnetons per cell) = 0.828

2.
The following is a PBE-GGA calculation of ZnBi2MoOs after structural relaxation, from the Alexandria database.

a = 5.281 Å, b = 5.281 Å, c = 4.871 Å
α = 90.00°, β = 90.00°, γ = 90.00°
Element x y z (fractional)
1 Zn 0.000 0.000 0.000
2 Bi 0.000 0.500 0.500
3 Bi 0.500 0.000 0.500
4 Mo 0.000 0.000 0.500
5 Os 0.500 0.500 0.000

Results
- energy (eV/atom) = -4.604
- formation energy from the elements (kJ/mol of atoms) = 155.8
- size of the total moment (Bohr magnetons per cell) = 3.389

3.
The following is a PBE-GGA calculation of BiMoP3 after structural relaxation, from the Alexandria database.

a = 4.747 Å, b = 4.747 Å, c = 4.747 Å
α = 90.00°, β = 90.00°, γ = 90.00°
Element x y z (fractional)
1 Bi 0.000 0.000 0.000
2 Mo 0.500 0.500 0.500
3 P 0.000 0.500 0.500
4 P 0.500 0.000 0.500
5 P 0.500 0.500 0.000

Results
- energy (eV/atom) = -5.707
- formation energy from the elements (kJ/mol of atoms) = 46.4
- excess energy over the best structure of this formula in the dataset (kJ/mol of formula units) = 0
- size of the total moment (Bohr magnetons per cell) = 0.000